Computed, not measured: an optimized crystal structure of LaCu2Cl at the PBE level of DFT.

a b c (Å): 4.8642 4.8642 4.8642
angles (deg): 60.00 60.00 60.00
Last column: nearest neighbours and their distance in Å.
Fractional coordinates of all 4 atoms:
Cl  0.5000  0.5000  0.5000  4 La 2.98, 4 Cu 2.98
Cu  0.0000  0.0000  0.0000  4 Cu 2.98, 4 La 2.98
Cu  0.7500  0.7500  0.7500  4 Cl 2.98, 4 Cu 2.98
La  0.2500  0.2500  0.2500  4 Cu 2.98, 4 Cl 2.98

## Properties
The formation energy without anion corrections comes out at -0.445 eV per atom. Its space group is F-43m, No. 216.